Below is PrGaGeRh3 after structural relaxation, with properties calculated at the PBE level.

The structure in CIF format:
```
data_PrGaGeRh3
_chemical_formula_sum 'Pr2 Ga2 Ge2 Rh6'
_cell_length_a 8.198
_cell_length_b 8.198
_cell_length_c 5.708
_cell_angle_alpha 90.00
_cell_angle_beta 90.00
_cell_angle_gamma 139.34
_symmetry_space_group_name_H-M 'P 1'
_symmetry_Int_Tables_number 1
_symmetry_space_group_name_Hall 'P 1'
loop_
_atom_site_label
_atom_site_type_symbol
_atom_site_fract_x
_atom_site_fract_y
_atom_site_fract_z
_atom_site_occupancy
Pr1 Pr 0.210 0.790 0.750 1
Pr2 Pr 0.790 0.210 0.250 1
Ga1 Ga 0.098 0.902 0.250 1
Ga2 Ga 0.902 0.098 0.750 1
Ge1 Ge 0.414 0.586 0.250 1
Ge2 Ge 0.586 0.414 0.750 1
Rh1 Rh 0.243 0.243 0.000 1
Rh2 Rh 0.243 0.243 0.500 1
Rh3 Rh 0.257 0.743 0.250 1
Rh4 Rh 0.743 0.257 0.750 1
Rh5 Rh 0.757 0.757 0.000 1
Rh6 Rh 0.757 0.757 0.500 1
```

Properties
Crystal system: orthorhombic
VASP energy: -6.26 eV per atom
Space group: Cmcm, No. 63
Formation enthalpy at 0 K: -0.51 eV per atom